# VS | Alexandria | PBE | optimized geometry
data_VS
_cell_length_a 3.229
_cell_length_b 3.413
_cell_length_c 5.475
_cell_angle_alpha 108.16
_cell_angle_beta 90.00
_cell_angle_gamma 90.00
_symmetry_space_group_name_H-M 'P 1'
_symmetry_Int_Tables_number 1
loop_
_symmetry_equiv_pos_as_xyz
'x,y,z'
loop_
_atom_site_label
_atom_site_fract_x
_atom_site_fract_y
_atom_site_fract_z
V1 0.750 0.600 0.200
V2 0.250 0.400 0.800
S1 0.250 0.152 0.304
S2 0.750 0.848 0.696
# space-group type = Cmcm (63)
# ΔE_f (raw) = -0.4946 eV/atom
# N(E_F) = 3.07 states/eV/cell